Entry 1:
First-principles (GGA-PBE) data for Rb2MgCd10 after structural relaxation, as listed in Alexandria via LeMat-Bulk.

Unit cell a=10.4391 b=11.4810 c=6.9516 alpha=90.00 beta=90.00 gamma=90.00
Last column: nearest neighbours and their distance in Å.
Space group Pbam (No. 55)
Symmetry-distinct sites (fractional):
Rb1 0.2228 0.0462 0.0000 x4  12 Cd 3.69-4.09
Mg1 0.0000 0.5000 0.5000 x2  8 Cd 2.82-2.98
Cd1 0.0349 0.1252 0.5000 x4  7 Cd 2.95-3.11
Cd2 0.0548 0.3164 0.2074 x8  2 Cd 2.88-3.00, 1 Mg 2.98
Cd3 0.1867 0.6933 0.5000 x4  4 Cd 2.86-3.11, 1 Mg 2.95
Cd4 0.2384 0.9384 0.5000 x4  1 Mg 2.82, 4 Cd 2.86-3.03

Computed properties:
Total magnetic moment (μB/f.u.): 0.00
ΔH_f (0 K) (eV per atom): 0.01
DOS(E_F) (states/eV/f.u.): 7.1


Entry 2:
First-principles (GGA-PBE) data for LiTlW2 after structural relaxation, as listed in Alexandria via LeMat-Bulk.

Unit cell a=6.4442 b=6.4442 c=6.4442 alpha=90.00 beta=90.00 gamma=90.00
Last column: nearest neighbours and their distance in Å.
Space group Fm-3m (No. 225)
Symmetry-distinct sites (fractional):
Li1 0.0000 0.0000 0.0000 x4  8 W 2.79
Tl1 0.0000 0.0000 0.5000 x4  8 W 2.79
W1 0.2500 0.2500 0.2500 x8  4 Tl 2.79, 4 Li 2.79

Computed properties:
Total magnetic moment (μB/f.u.): 0.00
ΔH_f (0 K) (eV per atom): 1.26
DOS(E_F) (states/eV/f.u.): 5.6
Polymorph energy (0 for the lowest one) (eV per atom): 0.833


Entry 3:
First-principles (GGA-PBE) data for MgSi4Br after structural relaxation, as listed in Alexandria via LeMat-Bulk.

Unit cell a=7.5272 b=7.5272 c=7.5272 alpha=90.00 beta=90.00 gamma=90.00
Last column: nearest neighbours and their distance in Å.
Space group F-43m (No. 216)
Symmetry-distinct sites (fractional):
Mg1 0.0000 0.0000 0.0000 x4  12 Si 3.12, 4 Br 3.26
Si1 0.1244 0.1244 0.6244 x16  6 Si 2.65-2.67
Br1 0.2500 0.2500 0.2500 x4  12 Si 3.12, 4 Mg 3.26

Computed properties:
Formation energy from raw total energies (eV/atom): 0.36
Total magnetic moment (μB/f.u.): 0.00
DOS(E_F) (states/eV/f.u.): 2.4


Entry 4:
First-principles (GGA-PBE) data for Fe2AgHg after structural relaxation, as listed in Alexandria via LeMat-Bulk.

Unit cell a=9.6181 b=2.9677 c=4.7312 alpha=90.00 beta=109.53 gamma=90.00
Last column: nearest neighbours and their distance in Å.
Space group Cm (No. 8)
Symmetry-distinct sites (fractional):
Fe1 0.0000 0.0000 0.0000 x2  2 Fe 2.36
Fe2 0.1972 0.5000 0.2239 x2  2 Fe 2.36
Ag1 0.2380 0.0000 0.7638 x2  7 Fe 2.77-2.87, 3 Hg 2.92-2.97, 2 Ag 2.97
Hg1 0.4597 0.0000 0.4666 x2  7 Fe 2.79-2.88, 3 Ag 2.92-2.97, 2 Hg 2.97

Computed properties:
Total magnetic moment (μB/f.u.): 5.21
ΔH_f (0 K) (eV per atom): 0.38
DOS(E_F) (states/eV/f.u.): 2.4


Entry 5:
First-principles (GGA-PBE) data for LaCdHg2H after structural relaxation, as listed in Alexandria via LeMat-Bulk.

Unit cell a=5.0215 b=5.0215 c=4.4776 alpha=90.00 beta=90.00 gamma=90.00
Last column: nearest neighbours and their distance in Å.
Space group P4/mmm (No. 123)
Symmetry-distinct sites (fractional):
La1 0.0000 0.0000 0.0000 x1  2 H 2.24
Cd1 0.5000 0.5000 0.0000 x1  8 Hg 3.36, 4 La 3.55
Hg1 0.0000 0.5000 0.5000 x2  2 H 2.51
H1 0.0000 0.0000 0.5000 x1  2 La 2.24

Computed properties:
Total magnetic moment (μB/f.u.): 0.00
Total DFT energy (no corrections) (eV per atom): -2.209
DOS(E_F) (states/eV/f.u.): 3.8


Entry 6:
First-principles (GGA-PBE) data for Ba2Pd15Pt2 after structural relaxation, as listed in Alexandria via LeMat-Bulk.

Unit cell a=9.3429 b=9.3429 c=13.7371 alpha=90.00 beta=90.00 gamma=120.00
Last column: nearest neighbours and their distance in Å.
Space group R-3m (No. 166, hexagonal axes)
Symmetry-distinct sites (fractional):
Ba1 0.0000 0.0000 0.1589 x6  18 Pd 3.33-3.61, 1 Pt 3.34
Pd1 0.0000 0.2917 0.5000 x18  8 Pd 2.69-2.88
Pd2 0.0000 0.5000 0.0000 x9  8 Pd 2.69, 2 Pt 2.86
Pd3 0.0021 0.5010 0.3456 x18  8 Pd 2.69-2.88, 1 Pt 2.90
Pt1 0.0000 0.0000 0.4018 x6  1 Pt 2.70, 6 Pd 2.86-2.90

Computed properties:
Total magnetic moment (μB/f.u.): 0.00
ΔH_f (0 K) (eV per atom): -0.17
DOS(E_F) (states/eV/f.u.): 29.1


Entry 7:
First-principles (GGA-PBE) data for YVZnOs2 after structural relaxation, as listed in Alexandria via LeMat-Bulk.

Unit cell a=4.8763 b=4.8763 c=4.6392 alpha=90.00 beta=90.00 gamma=90.00
Last column: nearest neighbours and their distance in Å.
Space group P4/mmm (No. 123)
Symmetry-distinct sites (fractional):
Y1 0.0000 0.0000 0.0000 x1  2 V 2.32, 4 Os 2.44
V1 0.0000 0.0000 0.5000 x1  2 Y 2.32
Zn1 0.5000 0.5000 0.5000 x1  8 Os 3.37, 4 V 3.45
Os1 0.0000 0.5000 0.0000 x2  2 Y 2.44

Computed properties:
Total magnetic moment (μB/f.u.): 0.88
ΔH_f (0 K) (eV per atom): 2.54
DOS(E_F) (states/eV/f.u.): 7.1


Entry 8:
First-principles (GGA-PBE) data for ReS after structural relaxation, as listed in Alexandria via LeMat-Bulk.

Unit cell a=2.8320 b=4.8761 c=6.8776 alpha=109.81 beta=100.13 gamma=94.19
Last column: nearest neighbours and their distance in Å.
Space group P1 (No. 1)
Symmetry-distinct sites (fractional):
Re1 0.0000 0.0000 0.0000 x1  2 S 2.31, 1 Re 2.51
Re2 0.4005 0.4763 0.0001 x1  4 S 2.35-2.43, 1 Re 2.51
S1 0.0798 0.8038 0.2647 x1  3 Re 2.31-2.43
S2 0.8205 0.5396 0.7354 x1  3 Re 2.31-2.43

Computed properties:
Formation energy from raw total energies (eV/atom): 0.13
Total magnetic moment (μB/f.u.): 0.00
DOS(E_F) (states/eV/f.u.): 1.1
Polymorph energy (0 for the lowest one) (eV per atom): 0.197


Entry 9:
First-principles (GGA-PBE) data for ZrPt3Br after structural relaxation, as listed in Alexandria via LeMat-Bulk.

Unit cell a=5.0447 b=5.0447 c=5.0447 alpha=90.00 beta=90.00 gamma=90.00
Last column: nearest neighbours and their distance in Å.
Space group Pm-3m (No. 221)
Symmetry-distinct sites (fractional):
Zr1 0.0000 0.0000 0.0000 x1  6 Pt 2.52
Pt1 0.0000 0.0000 0.5000 x3  2 Zr 2.52
Br1 0.5000 0.5000 0.5000 x1  12 Pt 3.57

Computed properties:
Formation energy from raw total energies (eV/atom): 0.89
Total magnetic moment (μB/f.u.): 0.00
DOS(E_F) (states/eV/f.u.): 5.1
Polymorph energy (0 for the lowest one) (eV per atom): 0.098


Entry 10:
First-principles (GGA-PBE) data for SrTbPr2Se4 after structural relaxation, as listed in Alexandria via LeMat-Bulk.

Unit cell a=7.3597 b=4.2233 c=7.4195 alpha=90.00 beta=108.96 gamma=90.00
Last column: nearest neighbours and their distance in Å.
Space group P2/m (No. 10)
Symmetry-distinct sites (fractional):
Sr1 0.0000 0.0000 0.0000 x1  6 Se 3.01-3.03
Tb1 0.5000 0.5000 0.0000 x1  6 Se 2.94-2.95
Pr1 0.0000 0.5000 0.5000 x1  6 Se 3.07-3.08
Pr2 0.5000 0.0000 0.5000 x1  6 Se 3.00
Se1 0.2576 0.5000 0.2467 x2  1 Tb 2.94, 3 Pr 3.00-3.07, 2 Sr 3.03
Se2 0.2608 0.0000 0.7600 x2  2 Tb 2.95, 3 Pr 3.00-3.08, 1 Sr 3.01

Computed properties:
Formation energy from raw total energies (eV/atom): -1.85
Total magnetic moment (μB/f.u.): 0.00
DOS(E_F) (states/eV/f.u.): 3.3


Entry 11:
First-principles (GGA-PBE) data for Li6Hg2Pt after structural relaxation, as listed in Alexandria via LeMat-Bulk.

Unit cell a=2.8007 b=7.6701 c=13.8207 alpha=90.00 beta=90.00 gamma=90.00
Last column: nearest neighbours and their distance in Å.
Space group Immm (No. 71)
Symmetry-distinct sites (fractional):
Li1 0.0000 0.1628 0.1589 x8  2 Li 2.48-2.50
Li2 0.0000 0.3121 0.0000 x4  2 Li 2.48, 2 Pt 2.77
Hg1 0.0000 0.0000 0.3448 x4  2 Hg 2.80, 10 Li 2.86-2.94
Pt1 0.0000 0.5000 0.5000 x2  12 Li 2.77-2.89, 2 Pt 2.80

Computed properties:
Total magnetic moment (μB/f.u.): 0.00
ΔH_f (0 K) (eV per atom): -0.31
DOS(E_F) (states/eV/f.u.): 4.2
Polymorph energy (0 for the lowest one) (eV per atom): 0.034


Entry 12:
First-principles (GGA-PBE) data for Y2Th2Ga4Ni after structural relaxation, as listed in Alexandria via LeMat-Bulk.

Unit cell a=6.9566 b=6.9566 c=8.5538 alpha=90.00 beta=90.00 gamma=90.00
Last column: nearest neighbours and their distance in Å.
Space group I4/mmm (No. 139)
Symmetry-distinct sites (fractional):
Y1 0.0000 0.0000 0.1936 x4  1 Ni 2.62
Th1 0.0000 0.5000 0.2500 x4  8 Ga 3.26, 4 Y 3.51
Ga1 0.2393 0.2393 0.5000 x8  1 Ni 2.35
Ni1 0.0000 0.0000 0.5000 x2  4 Ga 2.35, 2 Y 2.62

Computed properties:
Total magnetic moment (μB/f.u.): 0.00
ΔH_f (0 K) (eV per atom): -0.37
DOS(E_F) (states/eV/f.u.): 9.5


Entry 13:
First-principles (GGA-PBE) data for CaPt3Rh after structural relaxation, as listed in Alexandria via LeMat-Bulk.

Unit cell a=4.8802 b=4.8802 c=4.8802 alpha=90.00 beta=90.00 gamma=90.00
Last column: nearest neighbours and their distance in Å.
Space group Pm-3m (No. 221)
Symmetry-distinct sites (fractional):
Ca1 0.0000 0.0000 0.0000 x1  12 Pt 3.45
Pt1 0.0000 0.5000 0.5000 x3  2 Rh 2.44
Rh1 0.5000 0.5000 0.5000 x1  6 Pt 2.44

Computed properties:
Total magnetic moment (μB/f.u.): 2.23
ΔH_f (0 K) (eV per atom): 0.40
DOS(E_F) (states/eV/f.u.): 5.3
Polymorph energy (0 for the lowest one) (eV per atom): 0.000


Entry 14:
First-principles (GGA-PBE) data for DyY2IO8 after structural relaxation, as listed in Alexandria via LeMat-Bulk.

Unit cell a=7.0670 b=7.1750 c=6.8371 alpha=90.00 beta=90.00 gamma=90.00
Last column: nearest neighbours and their distance in Å.
Space group Cmmm (No. 65)
Symmetry-distinct sites (fractional):
Dy1 0.0000 0.0000 0.0000 x2  6 O 2.18-2.38
Y1 0.0000 0.5000 0.2484 x4  6 O 2.17-2.37
I1 0.0000 0.0000 0.5000 x2  6 O 1.90-1.92
O1 0.0000 0.1798 0.2924 x8  1 I 1.92
O2 0.1918 0.5000 0.0000 x4  2 Y 2.17, 1 Dy 2.18
O3 0.2312 0.5000 0.5000 x4  1 I 1.90

Computed properties:
Formation energy from raw total energies (eV/atom): -2.33
Total magnetic moment (μB/f.u.): 0.00
DOS(E_F) (states/eV/f.u.): 0.0


Entry 15:
First-principles (GGA-PBE) data for Tl2CoNi after structural relaxation, as listed in Alexandria via LeMat-Bulk.

Unit cell a=6.6724 b=6.6724 c=6.6724 alpha=90.00 beta=90.00 gamma=90.00
Last column: nearest neighbours and their distance in Å.
Space group F-43m (No. 216)
Symmetry-distinct sites (fractional):
Tl1 0.0000 0.0000 0.0000 x4  4 Tl 2.89, 4 Co 2.89
Tl2 0.2500 0.2500 0.2500 x4  4 Tl 2.89, 4 Ni 2.89
Co1 0.2500 0.2500 0.7500 x4  4 Tl 2.89, 4 Ni 2.89
Ni1 0.0000 0.0000 0.5000 x4  4 Tl 2.89, 4 Co 2.89

Computed properties:
Total magnetic moment (μB/f.u.): 1.83
ΔH_f (0 K) (eV per atom): 0.76
DOS(E_F) (states/eV/f.u.): 7.1
Polymorph energy (0 for the lowest one) (eV per atom): 0.363


Entry 16:
First-principles (GGA-PBE) data for TbU2Pt9 after structural relaxation, as listed in Alexandria via LeMat-Bulk.

Unit cell a=4.1489 b=4.1489 c=12.4303 alpha=90.00 beta=90.00 gamma=90.00
Last column: nearest neighbours and their distance in Å.
Space group P4/mmm (No. 123)
Symmetry-distinct sites (fractional):
Tb1 0.0000 0.0000 0.0000 x1  12 Pt 2.93-2.95
U1 0.0000 0.0000 0.3316 x2  12 Pt 2.90-2.95
Pt1 0.0000 0.5000 0.1687 x4  2 U 2.90, 8 Pt 2.91-2.95, 2 Tb 2.95
Pt2 0.0000 0.5000 0.5000 x2  8 Pt 2.93, 4 U 2.95
Pt3 0.5000 0.5000 0.0000 x1  4 Tb 2.93, 8 Pt 2.95
Pt4 0.5000 0.5000 0.3334 x2  8 Pt 2.91-2.93, 4 U 2.93

Computed properties:
Total magnetic moment (μB/f.u.): 3.24
ΔH_f (0 K) (eV per atom): -0.85
DOS(E_F) (states/eV/f.u.): 13.8


Entry 17:
First-principles (GGA-PBE) data for AcPmNiBr after structural relaxation, as listed in Alexandria via LeMat-Bulk.

Unit cell a=4.1653 b=4.1653 c=24.0586 alpha=90.00 beta=90.00 gamma=120.00
Last column: nearest neighbours and their distance in Å.
Space group R3m (No. 160, hexagonal axes)
Symmetry-distinct sites (fractional):
Ac1 0.0000 0.0000 0.0000 x3  3 Ni 2.91
Pm1 0.0000 0.0000 0.7946 x3  3 Ni 2.80
Ni1 0.0000 0.0000 0.4012 x3  3 Pm 2.80, 3 Ac 2.91
Br1 0.0000 0.0000 0.2237 x3  3 Pm 3.33, 3 Ac 3.57

Computed properties:
Formation energy from raw total energies (eV/atom): -0.80
Total magnetic moment (μB/f.u.): 0.00
DOS(E_F) (states/eV/f.u.): 3.6


Entry 18:
First-principles (GGA-PBE) data for PmHg2Bi2 after structural relaxation, as listed in Alexandria via LeMat-Bulk.

Unit cell a=4.7091 b=26.1104 c=4.6205 alpha=90.00 beta=90.00 gamma=90.00
Last column: nearest neighbours and their distance in Å.
Space group Cmcm (No. 63)
Symmetry-distinct sites (fractional):
Pm1 0.0000 0.1450 0.2500 x4  8 Bi 3.30-3.61, 4 Hg 3.52-3.53
Hg1 0.0000 0.0428 0.7500 x4  8 Hg 3.21-3.30, 2 Bi 3.46, 2 Pm 3.53
Hg2 0.0000 0.4550 0.7500 x4  8 Hg 3.29-3.30, 2 Bi 3.39, 2 Pm 3.52
Bi1 0.0000 0.2501 0.7500 x4  6 Bi 3.30-3.69, 4 Pm 3.59-3.61
Bi2 0.0000 0.3602 0.2500 x4  4 Pm 3.30, 4 Hg 3.39-3.46, 2 Bi 3.69

Computed properties:
Total magnetic moment (μB/f.u.): 0.00
ΔH_f (0 K) (eV per atom): -0.34
DOS(E_F) (states/eV/f.u.): 2.2
Polymorph energy (0 for the lowest one) (eV per atom): 0.000


Entry 19:
First-principles (GGA-PBE) data for LaMg2Al2Au2 after structural relaxation, as listed in Alexandria via LeMat-Bulk.

Unit cell a=4.4872 b=4.4872 c=26.2045 alpha=90.00 beta=90.00 gamma=120.00
Last column: nearest neighbours and their distance in Å.
Space group R-3m (No. 166, hexagonal axes)
Symmetry-distinct sites (fractional):
La1 0.0000 0.0000 0.0000 x3  6 Al 3.33, 6 Au 3.49, 2 Mg 3.56
Mg1 0.0000 0.0000 0.1357 x6  3 Au 2.86, 4 Al 2.98-3.09, 3 Mg 3.06
Al1 0.0000 0.0000 0.2536 x6  3 Au 2.60
Au1 0.0000 0.0000 0.4224 x6  3 Al 2.60, 3 Mg 2.86

Computed properties:
Total magnetic moment (μB/f.u.): 0.00
ΔH_f (0 K) (eV per atom): -0.53
DOS(E_F) (states/eV/f.u.): 3.8


Entry 20:
First-principles (GGA-PBE) data for BeCuAs after structural relaxation, as listed in Alexandria via LeMat-Bulk.

Unit cell a=3.7841 b=3.7841 c=5.6233 alpha=90.00 beta=90.00 gamma=90.00
Last column: nearest neighbours and their distance in Å.
Space group P4/nmm (No. 129, origin choice 2)
Symmetry-distinct sites (fractional):
Be1 0.2500 0.7500 0.0000 x2  4 Cu 2.44, 4 As 2.44, 4 Be 2.68
Cu1 0.2500 0.2500 0.2732 x2  4 Be 2.44, 5 As 2.54-2.68
As1 0.2500 0.2500 0.7246 x2  4 Be 2.44, 5 Cu 2.54-2.68

Computed properties:
Total magnetic moment (μB/f.u.): 0.00
ΔH_f (0 K) (eV per atom): 0.06
DOS(E_F) (states/eV/f.u.): 1.0